# PaGa2CoO8 | the Alexandria database | PBE with a Hubbard U | relaxed
# - Final energy: -6.831 eV/atom
# - Volume: 11.30 A^3/atom
# - SG: P2/m, No. 10
data_PaGa2CoO8
_chemical_formula_sum 'Pa1 Ga2 Co1 O8'
_cell_length_a 4.649
_cell_length_b 6.244
_cell_length_c 4.673
_cell_angle_alpha 90.00
_cell_angle_beta 90.09
_cell_angle_gamma 90.00
_space_group_name_H-M_alt 'P 1'
_space_group_IT_number 1
loop_
_space_group_symop_operation_xyz
'x,y,z'
loop_
_atom_site_label
_atom_site_fract_x
_atom_site_fract_y
_atom_site_fract_z
Pa1 0.000 0.000 0.000
Ga1 0.500 0.266 0.500
Ga2 0.500 0.734 0.500
Co1 0.000 0.500 0.000
O1 0.202 0.279 0.193
O2 0.202 0.721 0.193
O3 0.287 0.500 0.705
O4 0.317 0.000 0.675
O5 0.683 0.000 0.325
O6 0.713 0.500 0.295
O7 0.798 0.279 0.807
O8 0.798 0.721 0.807